Computed, not measured: an optimized crystal structure of SrLi2MgCl6 at the GGA-PBE level of DFT.

Geometry as POSCAR:
```
SrLi2MgCl6
1.0
3.3330 1.9243 6.0810
-3.3330 1.9243 6.0810
0.0000 -3.8486 6.0810
Sr Li Mg Cl
1 2 1 6
direct
0.0000 0.0000 0.0000
0.2893 0.2893 0.2893
0.7973 0.7973 0.7973
0.4905 0.4905 0.4905
0.0882 0.6730 0.4432
0.2271 0.5636 0.8888
0.4432 0.0882 0.6730
0.5636 0.8888 0.2271
0.6730 0.4432 0.0882
0.8888 0.2271 0.5636
```

Summary:
- V: 234.05 Å³ per cell
- Total moment: 0.0 μB per cell
- Formation energy from raw total energies: -1.99 eV/atom